No. 1
A relaxed structure of Na3YOs, computed with PBE.

The structure in extended XYZ format:
```
5
Lattice="-1.984 4.654 2.910 -5.291 -0.799 -2.329 -1.459 -3.430 4.491" Properties=species:S:1:pos:R:3 pbc="T T T"
Y 0.000 0.000 0.000
Na -2.646 -0.399 -1.165
Na -0.730 -1.715 2.246
Na -0.992 2.327 1.455
Os -4.367 0.213 2.536
```

total magnetic moment	0.43	μB/f.u.
ΔH_f (0 K)	2.21	eV/atom
E above lowest polymorph	0.8213	eV per atom

=====

No. 2
A relaxed structure of NaYOs2, computed with PBE.

The structure in extended XYZ format:
```
8
Lattice="-5.523 -3.521 4.289 -4.078 -1.528 -6.506 -3.563 -4.768 -1.357" Properties=species:S:1:pos:R:3 pbc="T T T"
Y 0.000 0.000 0.000
Y -6.943 -5.407 0.912
Na -4.801 -2.524 -1.109
Na -6.221 -4.410 -4.486
Os -4.793 -3.546 1.482
Os -4.190 -2.625 -3.823
Os -6.317 -5.486 -1.919
Os -11.030 -7.977 -2.888
```

total magnetic moment	0.74	μB/f.u.
ΔH_f (0 K)	1.04	eV/atom
E above lowest polymorph	0.0606	eV per atom

=====

No. 3
A relaxed structure of Na3YOs, computed with PBE.

The structure in extended XYZ format:
```
5
Lattice="5.327 0.000 0.000 0.000 5.327 0.000 0.000 0.000 5.327" Properties=species:S:1:pos:R:3 pbc="T T T"
Y 2.663 2.663 2.663
Na 0.000 2.663 0.000
Na 0.000 0.000 2.663
Na 2.663 0.000 0.000
Os 0.000 0.000 0.000
```

total magnetic moment	0.00	μB/f.u.
ΔH_f (0 K)	1.39	eV/atom
E above lowest polymorph	0.0000	eV per atom

=====

No. 4
A relaxed structure of NaY2Os, computed with PBE.

The structure in extended XYZ format:
```
4
Lattice="3.415 0.000 0.000 0.000 3.415 0.000 0.000 0.000 9.521" Properties=species:S:1:pos:R:3 pbc="T T T"
Y 0.000 0.000 7.868
Y 0.000 0.000 1.654
Na 1.708 1.708 4.761
Os 1.708 1.708 0.000
```

total magnetic moment	0.00	μB/f.u.
ΔH_f (0 K)	-0.12	eV/atom

=====

No. 5
A relaxed structure of NaY3Os, computed with PBE.

The structure in extended XYZ format:
```
5
Lattice="-1.456 3.757 -3.276 -0.209 -3.456 -3.871 -4.980 -0.954 1.120" Properties=species:S:1:pos:R:3 pbc="T T T"
Y -0.105 -1.728 -1.935
Y -2.490 -0.477 0.560
Y -0.728 1.879 -1.638
Na 0.000 0.000 0.000
Os -3.323 -0.326 -3.013
```

total magnetic moment	0.00	μB/f.u.
ΔH_f (0 K)	1.59	eV/atom
E above lowest polymorph	1.5786	eV per atom

=====

No. 6
A relaxed structure of NaYOs2, computed with PBE.

The structure in extended XYZ format:
```
4
Lattice="0.000 3.336 3.336 3.336 0.000 3.336 3.336 3.336 0.000" Properties=species:S:1:pos:R:3 pbc="T T T"
Y 3.336 3.336 3.336
Na 0.000 0.000 0.000
Os 1.668 1.668 1.668
Os 5.004 5.004 5.004
```

total magnetic moment	0.00	μB/f.u.
ΔH_f (0 K)	0.98	eV/atom
E above lowest polymorph	0.0000	eV per atom

=====

No. 7
A relaxed structure of NaZnOs, computed with PBE.

The structure in extended XYZ format:
```
12
Lattice="4.405 0.000 0.000 0.000 5.062 0.000 0.000 0.000 10.856" Properties=species:S:1:pos:R:3 pbc="T T T"
Na 1.101 3.704 5.948
Na 3.304 1.358 5.948
Na 1.101 1.173 0.520
Na 3.304 3.889 0.520
Zn 1.101 0.563 8.421
Zn 3.304 4.499 8.421
Zn 1.101 3.094 2.993
Zn 3.304 1.968 2.993
Os 1.101 0.535 3.533
Os 3.304 4.527 3.533
Os 1.101 3.066 8.961
Os 3.304 1.996 8.961
```

total magnetic moment	0.00	μB/f.u.
ΔH_f (0 K)	0.33	eV/atom
E above lowest polymorph	0.0158	eV per atom

=====

No. 8
A relaxed structure of NaZnOs, computed with PBE.

The structure in extended XYZ format:
```
12
Lattice="-1.258 2.473 -3.629 -10.285 -2.692 1.732 -0.519 3.735 2.725" Properties=species:S:1:pos:R:3 pbc="T T T"
Na -1.050 4.267 0.396
Na -5.933 1.053 -0.100
Na -0.200 1.439 1.050
Na -5.602 1.960 3.278
Zn -8.681 1.523 4.048
Zn -2.622 3.109 3.028
Zn -3.279 1.002 1.819
Zn -7.505 -0.105 2.531
Os -3.990 3.256 0.727
Os -8.331 2.119 1.458
Os -8.873 0.042 0.230
Os -2.929 1.598 -0.771
```

total magnetic moment	0.00	μB/f.u.
ΔH_f (0 K)	0.38	eV/atom
E above lowest polymorph	0.0736	eV per atom

=====

No. 9
A relaxed structure of NaZnOs, computed with PBE.

The structure in extended XYZ format:
```
6
Lattice="5.018 0.000 -0.009 0.000 4.382 0.000 -1.511 0.000 5.399" Properties=species:S:1:pos:R:3 pbc="T T T"
Na -0.039 1.095 5.108
Na 3.546 3.286 0.283
Zn -0.276 1.095 2.135
Zn 3.783 3.286 3.255
Os 2.265 1.095 2.722
Os 1.242 3.286 2.669
```

total magnetic moment	0.00	μB/f.u.
ΔH_f (0 K)	0.31	eV/atom
E above lowest polymorph	0.0000	eV per atom

=====

No. 10
A relaxed structure of NaZnOs, computed with PBE.

The structure in extended XYZ format:
```
6
Lattice="-1.200 4.021 1.665 -2.122 -3.838 2.064 5.417 -0.399 1.502" Properties=species:S:1:pos:R:3 pbc="T T T"
Na 3.118 2.621 3.164
Na 2.903 0.054 3.205
Zn 0.058 -0.448 2.532
Zn 2.063 -2.560 2.955
Os 0.401 2.249 2.156
Os -0.492 -3.125 2.724
```

total magnetic moment	0.00	μB/f.u.
ΔH_f (0 K)	0.41	eV/atom
E above lowest polymorph	0.1029	eV per atom

=====

No. 11
A relaxed structure of NaZnOs3, computed with PBE.

The structure in extended XYZ format:
```
5
Lattice="4.581 0.000 0.000 0.000 4.581 0.000 0.000 0.000 4.581" Properties=species:S:1:pos:R:3 pbc="T T T"
Na 2.290 2.290 2.290
Zn 0.000 0.000 0.000
Os 0.000 2.290 0.000
Os 0.000 0.000 2.290
Os 2.290 0.000 0.000
```

total magnetic moment	2.40	μB/f.u.
ΔH_f (0 K)	2.14	eV/atom
E above lowest polymorph	0.0000	eV per atom

=====

No. 12
A relaxed structure of NaZn3Os, computed with PBE.

The structure in extended XYZ format:
```
5
Lattice="4.853 0.000 0.000 0.000 4.853 0.000 0.000 0.000 4.853" Properties=species:S:1:pos:R:3 pbc="T T T"
Na 2.427 2.427 2.427
Zn 0.000 2.427 0.000
Zn 0.000 0.000 2.427
Zn 2.427 0.000 0.000
Os 0.000 0.000 0.000
```

total magnetic moment	0.00	μB/f.u.
ΔH_f (0 K)	0.33	eV/atom
E above lowest polymorph	0.0000	eV per atom

=====

No. 13
A relaxed structure of NaZnOs, computed with PBE.

The structure in extended XYZ format:
```
12
Lattice="-1.131 0.716 -8.878 -0.301 -2.780 -0.186 -8.074 0.568 4.573" Properties=species:S:1:pos:R:3 pbc="T T T"
Na -3.142 0.350 -0.142
Na -7.330 -0.756 2.052
Na -1.382 0.725 -8.619
Na -5.569 -0.381 -6.425
Zn -3.770 0.699 -4.352
Zn -7.957 -0.407 -2.159
Zn -6.155 0.696 -0.441
Zn -2.268 -0.979 -2.821
Os -0.810 0.398 -4.643
Os -4.998 -0.708 -2.449
Os -6.421 0.946 -3.757
Os -2.534 -0.728 -6.136
```

total magnetic moment	0.00	μB/f.u.
ΔH_f (0 K)	0.43	eV/atom
E above lowest polymorph	0.1224	eV per atom

=====

No. 14
A relaxed structure of NaZnOs, computed with PBE.

The structure in extended XYZ format:
```
12
Lattice="5.289 0.000 -0.054 0.000 4.276 0.000 -5.273 0.000 10.257" Properties=species:S:1:pos:R:3 pbc="T T T"
Na 0.008 2.138 5.101
Na 2.644 0.000 -0.027
Na 0.000 0.000 0.000
Na -2.637 2.138 5.128
Zn 0.811 0.000 7.225
Zn -0.796 0.000 2.978
Zn 3.448 2.138 2.096
Zn -3.432 2.138 8.106
Os 1.835 0.000 2.769
Os -1.819 0.000 7.434
Os -0.802 2.138 7.897
Os 0.817 2.138 2.306
```

total magnetic moment	0.00	μB/f.u.
ΔH_f (0 K)	0.38	eV/atom
E above lowest polymorph	0.0734	eV per atom

=====

No. 15
A relaxed structure of NaZnOs, computed with PBE.

The structure in extended XYZ format:
```
6
Lattice="4.155 0.000 0.001 0.000 4.057 0.000 -0.402 0.000 7.549" Properties=species:S:1:pos:R:3 pbc="T T T"
Na 1.079 1.014 1.160
Na 2.674 3.043 6.391
Zn 0.422 1.014 5.325
Zn 3.332 3.043 2.226
Os 2.519 1.014 3.804
Os 1.234 3.043 3.747
```

total magnetic moment	0.00	μB/f.u.
ΔH_f (0 K)	0.44	eV/atom
E above lowest polymorph	0.1271	eV per atom

=====

No. 16
A relaxed structure of NaZnOs, computed with PBE.

The structure in extended XYZ format:
```
12
Lattice="-1.647 -3.378 3.460 4.105 -0.465 1.500 -1.658 8.169 7.069" Properties=species:S:1:pos:R:3 pbc="T T T"
Na -0.959 4.581 4.044
Na 1.923 0.264 1.259
Na -0.842 -1.284 1.906
Na 0.381 2.568 6.191
Zn -2.943 3.623 9.176
Zn -0.061 -0.694 6.391
Zn -1.704 -0.019 4.658
Zn -0.481 3.833 8.943
Os -0.858 1.549 2.829
Os 0.365 5.401 7.113
Os -2.003 4.831 6.980
Os 0.878 0.514 4.195
```

total magnetic moment	0.07	μB/f.u.
ΔH_f (0 K)	0.33	eV/atom
E above lowest polymorph	0.0164	eV per atom

=====

No. 17
A relaxed structure of NaZnOs3, computed with PBE.

The structure in extended XYZ format:
```
5
Lattice="-1.379 4.242 -0.400 -2.402 -0.427 3.756 3.519 1.371 2.407" Properties=species:S:1:pos:R:3 pbc="T T T"
Na 0.000 0.000 0.000
Zn -0.131 2.593 2.881
Os -1.201 -0.213 1.878
Os 1.760 0.685 1.203
Os -0.689 2.121 -0.200
```

total magnetic moment	3.29	μB/f.u.
ΔH_f (0 K)	3.04	eV/atom
E above lowest polymorph	0.9021	eV per atom

=====

No. 18
A relaxed structure of Na3ZrOs, computed with PBE.

The structure in extended XYZ format:
```
5
Lattice="-3.473 3.208 -2.244 -3.674 -1.634 3.350 1.353 3.798 3.336" Properties=species:S:1:pos:R:3 pbc="T T T"
Na -1.837 -0.817 1.675
Na 0.677 1.899 1.668
Na -1.736 1.604 -1.122
Os 0.000 0.000 0.000
Zr -2.897 2.687 2.221
```

total magnetic moment	0.00	μB/f.u.
ΔH_f (0 K)	1.89	eV/atom
E above lowest polymorph	0.0000	eV per atom

=====

No. 19
A relaxed structure of Na2ZrOs, computed with PBE.

The structure in extended XYZ format:
```
4
Lattice="4.202 -2.056 -0.890 0.479 -4.718 0.423 0.557 -2.694 -3.886" Properties=species:S:1:pos:R:3 pbc="T T T"
Na 1.309 -2.367 -1.088
Na 3.928 -7.101 -3.265
Os 2.619 -4.734 -2.177
Zr 0.000 0.000 0.000
```

total magnetic moment	0.00	μB/f.u.
ΔH_f (0 K)	1.20	eV/atom
E above lowest polymorph	0.6354	eV per atom

=====

No. 20
A relaxed structure of NaZr3Os, computed with PBE.

The structure in extended XYZ format:
```
5
Lattice="4.794 0.000 0.000 0.000 4.794 0.000 0.000 0.000 4.794" Properties=species:S:1:pos:R:3 pbc="T T T"
Na 0.000 0.000 0.000
Os 2.397 2.397 2.397
Zr 0.000 2.397 0.000
Zr 0.000 0.000 2.397
Zr 2.397 0.000 0.000
```

total magnetic moment	0.00	μB/f.u.
ΔH_f (0 K)	1.87	eV/atom
E above lowest polymorph	1.4613	eV per atom

=====

No. 21
A relaxed structure of Na2ZrOs, computed with PBE.

The structure in extended XYZ format:
```
8
Lattice="-0.379 -0.400 3.781 2.214 -3.112 -0.108 10.373 4.912 3.490" Properties=species:S:1:pos:R:3 pbc="T T T"
Na 2.626 0.581 3.294
Na 3.937 -0.760 1.206
Na 8.426 2.425 3.997
Na 9.427 0.551 5.829
Os 0.000 0.000 0.000
Os 5.456 1.377 4.554
Zr 0.918 -1.756 1.837
Zr 6.752 0.021 2.609
```

total magnetic moment	0.00	μB/f.u.
ΔH_f (0 K)	0.56	eV/atom
E above lowest polymorph	0.0000	eV per atom

=====

No. 22
A relaxed structure of NaZr3Os, computed with PBE.

The structure in extended XYZ format:
```
5
Lattice="-2.929 0.655 -4.183 1.019 -4.828 -1.469 -4.110 -1.664 2.618" Properties=species:S:1:pos:R:3 pbc="T T T"
Na -3.010 -2.919 -1.517
Os 0.000 0.000 0.000
Zr 0.510 -2.414 -0.735
Zr -2.055 -0.832 1.309
Zr -1.465 0.327 -2.092
```

total magnetic moment	1.25	μB/f.u.
ΔH_f (0 K)	0.41	eV/atom
E above lowest polymorph	0.0000	eV per atom

=====

No. 23
A relaxed structure of NaZrOs2, computed with PBE.

The structure in extended XYZ format:
```
8
Lattice="7.519 0.000 0.000 0.000 7.519 0.000 3.759 3.759 2.623" Properties=species:S:1:pos:R:3 pbc="T T T"
Na 3.759 3.759 0.000
Na 3.759 7.519 1.311
Os 5.704 1.880 0.656
Os 1.815 5.639 0.656
Os 5.639 5.574 1.967
Os 9.398 9.463 1.967
Zr 0.000 0.000 0.000
Zr 7.519 3.759 1.311
```

total magnetic moment	0.00	μB/f.u.
ΔH_f (0 K)	0.99	eV/atom
E above lowest polymorph	0.3865	eV per atom

=====

No. 24
A relaxed structure of Na3ZrOs, computed with PBE.

The structure in extended XYZ format:
```
5
Lattice="-1.426 4.607 2.672 -5.123 -1.942 0.616 1.456 -2.323 4.783" Properties=species:S:1:pos:R:3 pbc="T T T"
Na -2.562 -0.971 0.308
Na 0.728 -1.162 2.392
Na -0.713 2.304 1.336
Os -2.546 0.171 4.035
Zr 0.000 0.000 0.000
```

total magnetic moment	6.07	μB/f.u.
ΔH_f (0 K)	2.51	eV/atom
E above lowest polymorph	0.6111	eV per atom

=====

No. 25
A relaxed structure of NaZrOs2, computed with PBE.

The structure in extended XYZ format:
```
4
Lattice="-1.316 -1.946 3.935 -1.800 2.572 3.338 -4.457 -0.344 1.007" Properties=species:S:1:pos:R:3 pbc="T T T"
Na 0.000 0.000 0.000
Os -1.893 0.070 2.070
Os -5.680 0.211 6.210
Zr -3.787 0.141 4.140
```

total magnetic moment	0.00	μB/f.u.
ΔH_f (0 K)	0.60	eV/atom
E above lowest polymorph	0.0000	eV per atom

=====

No. 26
A relaxed structure of Na5P, computed with PBE.

The structure in extended XYZ format:
```
6
Lattice="4.787 0.000 0.000 0.000 4.727 0.000 0.000 -2.363 7.077" Properties=species:S:1:pos:R:3 pbc="T T T"
P 0.000 0.000 0.000
Na 2.393 2.363 5.052
Na 0.000 2.363 1.988
Na 2.393 2.363 0.000
Na 0.000 0.000 5.089
Na 2.393 0.000 2.025
```

total magnetic moment	0.00	μB/f.u.
ΔH_f (0 K)	-0.10	eV/atom